# PmSmDy5Y2 | Alexandria via LeMat-Bulk | PBE-GGA | relaxed
# **Total magnetization**: 0.000 μB/f.u.
# **Raw total energy**: -44.0 eV/f.u.
# **Theoretical density**: 7.18 g/cm³
# **N(E_F)**: 57.69 states/eV per cell
data_PmSmDy5Y2
_chemical_formula_sum 'Pm4 Sm4 Dy20 Y8'
_symmetry_space_group_name_H-M 'C m c 21'
_symmetry_Int_Tables_number 36
_cell_length_a 5.6362
_cell_length_b 19.8389
_cell_length_c 10.6329
_cell_angle_alpha 90.00
_cell_angle_beta 90.00
_cell_angle_gamma 90.00
loop_
_symmetry_equiv_pos_as_xyz
'x,y,z'
'-x,-y,z+1/2'
'-x,y,z'
'x,-y,z+1/2'
'x+1/2,y+1/2,z'
'-x+1/2,-y+1/2,z+1/2'
'-x+1/2,y+1/2,z'
'x+1/2,-y+1/2,z+1/2'
loop_
_atom_site_label
_atom_site_type_symbol
_atom_site_fract_x
_atom_site_fract_y
_atom_site_fract_z
Pm1 Pm 0.0000 0.0835 0.0000
Sm1 Sm 0.0000 0.2976 0.5576
Dy1 Dy 0.0000 0.0218 0.2839
Dy2 Dy 0.0000 0.1076 0.5704
Dy3 Dy 0.0000 0.2017 0.2538
Dy4 Dy 0.0000 0.2171 0.8555
Dy5 Dy 0.0000 0.4813 0.5736
Y1 Y 0.0000 0.3858 0.8684
Y2 Y 0.0000 0.3903 0.2817